# 1
# PBE SnHgP2S, relaxed
# Calculated total energy in Ry/atom: -0.217
# Space-group type: P4/mmm (123)
# Relative energy among the computed polymorphs in eV per atom: 0.000
# DOS(E_F) in states/eV per cell: 4.617
# Crystal system: tetragonal
# Size of the total moment in μB per cell: 1.65
data_SnHgP2S
_chemical_formula_sum 'Sn1 Hg1 P2 S1'
_space_group_name_H-M_alt 'P 1'
_space_group_IT_number 1
_cell_length_a 5.169
_cell_length_b 5.169
_cell_length_c 5.001
_cell_angle_alpha 90.00
_cell_angle_beta 90.00
_cell_angle_gamma 90.00
loop_
_space_group_symop_operation_xyz
'x,y,z'
loop_
_atom_site_label
_atom_site_type_symbol
_atom_site_fract_x
_atom_site_fract_y
_atom_site_fract_z
Sn1 Sn 0.000 0.000 0.000
Hg1 Hg 0.500 0.500 0.500
P1 P 0.000 0.500 0.000
P2 P 0.500 0.000 0.000
S1 S 0.000 0.000 0.500

=====

# 2
# PBE SmErCo, relaxed
# Calculated total energy in Ry/atom: -0.384
# Space-group type: P3_212 (153)
# Relative energy among the computed polymorphs in eV per atom: 0.382
# DOS(E_F) in states/eV per cell: 10.421
# Crystal system: trigonal
# Size of the total moment in μB per cell: 0.00
# Formation energy in meV/atom: 237
data_SmErCo
_chemical_formula_sum 'Sm3 Er3 Co3'
_space_group_name_H-M_alt 'P 1'
_space_group_IT_number 1
_cell_length_a 5.516
_cell_length_b 5.516
_cell_length_c 7.710
_cell_angle_alpha 90.00
_cell_angle_beta 90.00
_cell_angle_gamma 120.00
loop_
_space_group_symop_operation_xyz
'x,y,z'
loop_
_atom_site_label
_atom_site_type_symbol
_atom_site_fract_x
_atom_site_fract_y
_atom_site_fract_z
Sm1 Sm 0.177 0.353 0.333
Sm2 Sm 0.177 0.823 0.667
Sm3 Sm 0.647 0.823 0.000
Er1 Er 0.377 0.188 0.000
Er2 Er 0.812 0.188 0.667
Er3 Er 0.812 0.623 0.333
Co1 Co 0.010 0.505 0.000
Co2 Co 0.495 0.505 0.667
Co3 Co 0.495 0.990 0.333

=====

# 3
# PBE ZnCuB2, relaxed
# Calculated total energy in Ry/atom: -0.258
# Space-group type: I-42d (122)
# DOS(E_F) in states/eV per cell: 2.775
# Crystal system: tetragonal
# Size of the total moment in μB per cell: 0.00
# Formation energy in meV/atom: 1168
data_ZnCuB2
_chemical_formula_sum 'Zn2 Cu2 B4'
_space_group_name_H-M_alt 'P 1'
_space_group_IT_number 1
_cell_length_a 5.084
_cell_length_b 5.084
_cell_length_c 5.084
_cell_angle_alpha 115.24
_cell_angle_beta 115.24
_cell_angle_gamma 98.46
loop_
_space_group_symop_operation_xyz
'x,y,z'
loop_
_atom_site_label
_atom_site_type_symbol
_atom_site_fract_x
_atom_site_fract_y
_atom_site_fract_z
Zn1 Zn 0.000 0.000 0.000
Zn2 Zn 0.750 0.250 0.500
Cu1 Cu 0.250 0.750 0.500
Cu2 Cu 0.500 0.500 0.000
B1 B 0.145 0.125 0.520
B2 B 0.375 0.855 0.980
B3 B 0.605 0.625 0.480
B4 B 0.875 0.395 0.020

=====

# 4
# PBE Rb2PmZn2S4, relaxed
# Calculated total energy in Ry/atom: -0.294
# Space-group type: C2/m (12)
# DOS(E_F) in states/eV per cell: 3.827
# Crystal system: monoclinic
# Size of the total moment in μB per cell: 0.00
data_Rb2PmZn2S4
_chemical_formula_sum 'Rb2 Pm1 Zn2 S4'
_space_group_name_H-M_alt 'P 1'
_space_group_IT_number 1
_cell_length_a 8.272
_cell_length_b 8.272
_cell_length_c 8.108
_cell_angle_alpha 112.07
_cell_angle_beta 112.07
_cell_angle_gamma 27.92
loop_
_space_group_symop_operation_xyz
'x,y,z'
loop_
_atom_site_label
_atom_site_type_symbol
_atom_site_fract_x
_atom_site_fract_y
_atom_site_fract_z
Rb1 Rb 0.129 0.129 0.057
Rb2 Rb 0.871 0.871 0.943
Pm1 Pm 0.000 0.000 0.500
Zn1 Zn 0.317 0.317 0.486
Zn2 Zn 0.683 0.683 0.514
S1 S 0.191 0.191 0.694
S2 S 0.464 0.464 0.713
S3 S 0.536 0.536 0.287
S4 S 0.809 0.809 0.306

=====

# 5
# PBE ScAl2Os, relaxed
# Calculated total energy in Ry/atom: -0.487
# Space-group type: I-4m2 (119)
# DOS(E_F) in states/eV per cell: 2.693
# Crystal system: tetragonal
# Size of the total moment in μB per cell: 0.00
# Formation energy in meV/atom: -359
data_ScAl2Os
_chemical_formula_sum 'Sc1 Al2 Os1'
_space_group_name_H-M_alt 'P 1'
_space_group_IT_number 1
_cell_length_a 4.661
_cell_length_b 4.661
_cell_length_c 4.661
_cell_angle_alpha 126.22
_cell_angle_beta 126.22
_cell_angle_gamma 79.53
loop_
_space_group_symop_operation_xyz
'x,y,z'
loop_
_atom_site_label
_atom_site_type_symbol
_atom_site_fract_x
_atom_site_fract_y
_atom_site_fract_z
Sc1 Sc 0.000 0.000 0.000
Al1 Al 0.250 0.750 0.500
Al2 Al 0.500 0.500 0.000
Os1 Os 0.750 0.250 0.500

=====

# 6
# PBE PmSm3TmSc, relaxed
# Calculated total energy in Ry/atom: -0.348
# Space-group type: C2/m (12)
# DOS(E_F) in states/eV per cell: 20.114
# Crystal system: monoclinic
# Size of the total moment in μB per cell: 0.00
# Formation energy in meV/atom: 219
data_PmSm3TmSc
_chemical_formula_sum 'Pm2 Sm6 Tm2 Sc2'
_space_group_name_H-M_alt 'P 1'
_space_group_IT_number 1
_cell_length_a 11.314
_cell_length_b 11.314
_cell_length_c 6.920
_cell_angle_alpha 98.78
_cell_angle_beta 98.78
_cell_angle_gamma 27.26
loop_
_space_group_symop_operation_xyz
'x,y,z'
loop_
_atom_site_label
_atom_site_type_symbol
_atom_site_fract_x
_atom_site_fract_y
_atom_site_fract_z
Pm1 Pm 0.128 0.128 0.461
Pm2 Pm 0.872 0.872 0.539
Sm1 Sm 0.024 0.024 0.778
Sm2 Sm 0.274 0.274 0.687
Sm3 Sm 0.334 0.334 0.228
Sm4 Sm 0.666 0.666 0.772
Sm5 Sm 0.726 0.726 0.313
Sm6 Sm 0.976 0.976 0.222
Tm1 Tm 0.166 0.166 0.032
Tm2 Tm 0.834 0.834 0.968
Sc1 Sc 0.426 0.426 0.864
Sc2 Sc 0.574 0.574 0.136